5
Lattice="-3.4719 -2.1453 3.5090 -0.7940 -4.1561 -3.3265 4.0544 -2.6759 2.3756" Properties=species:S:1:pos:R:3 comment="GaTe2IO | Alexandria | PBE-GGA | optimized geometry" e_form_raw_mev_per_atom=908 dos_at_fermi_per_ev_atom=2.17 e_above_lowest_polymorph_ev_per_fu=4.50 total_magnetization_mub_per_fu=0.00 energy_ev_per_atom=-2.26 pbc="T T T"
I 2.0272 -1.3380 1.1878
Te -0.3970 -2.0781 -1.6632
Te -1.7360 -1.0726 1.7545
O -0.1058 -4.4887 1.2790
Ga 0.0000 0.0000 0.0000

4
Lattice="5.0930 -0.0002 0.0184 4.2016 2.8784 0.0184 1.2991 0.4023 4.4804" Properties=species:S:1:pos:R:3 comment="AlInRe2 | Alexandria | PBE-GGA | optimized geometry" dos_at_fermi_per_ev_atom=0.47 e_above_lowest_polymorph_ev_per_fu=0.79 total_magnetization_mub_per_fu=0.00 energy_ev_per_atom=-7.55 formation_enthalpy_0k_ev_per_atom=0.299 pbc="T T T"
Re 0.1742 0.0540 0.0294
Re 7.8235 2.4227 3.3106
Al 5.1880 1.6065 2.4304
In 2.7047 0.8375 1.0054